Density functional theory data (PBEsol) for an optimized crystal structure of BaScBr3.

Structure (POSCAR):
```
BaScBr3
1.0
5.243 0.000 0.000
0.000 5.243 0.000
0.000 0.000 5.243
Ba Sc Br
1 1 3
Cartesian
0.000 0.000 0.000
2.621 2.621 2.621
0.000 2.621 2.621
2.621 0.000 2.621
2.621 2.621 0.000
```

Properties
The value obtained for the uncorrected formation energy is -1.437 eV/atom. The electronic total energy is -4.3096 eV/atom. For the size of the total moment, the calculation gives 0.00 μB/cell. The calculation puts the volume at 28.82 Å³/atom.